! V5Ga4, relaxed, DFT PBE; values from VASP
&SYSTEM
  ibrav = 0, nat = 9, ntyp = 2
/
ATOMIC_SPECIES
V 50.94 V.upf
Ga 69.72 Ga.upf
ATOMIC_POSITIONS angstrom
V 0.000 0.000 0.000
V 2.910 0.000 0.000
V 5.776 0.000 0.000
V 0.000 2.910 0.000
V 0.000 5.776 0.000
Ga 2.887 2.887 0.000
Ga 1.457 -1.457 1.676
Ga -1.457 1.457 1.676
Ga 1.457 1.457 1.676
CELL_PARAMETERS angstrom
-4.343 4.343 1.676
4.343 -4.343 1.676
4.343 4.343 -1.676
! **Energy relative to the lowest polymorph listed for this composition**: 0 meV/atom
! **DOS(E_F)**: 4.87 states/eV/f.u.
! **V**: 14.0 Å³/atom
! **Symmetry**: I4/mmm, No. 139
! **E**: -6.571 eV/atom
! **Formation enthalpy at 0 K**: -0.16 eV/atom